First-principles (GGA-PBE) data for K3NaPt8 after structural relaxation, as listed in Alexandria.

Calculated values
size of the total moment = 0.00 μB/f.u.
N(E_F) = 6.7 states/eV/f.u.
calculated formation energy = -230 meV per atom

Structure (extended XYZ):
```
12
Lattice="-3.7040 -1.0304 -3.9145 -5.2696 -0.7420 1.3363 -4.4679 8.2307 -1.7843" Properties=species:S:1:pos:R:3 pbc="T T T"
Pt -10.3581 6.4980 -3.4453
Pt -8.8485 4.3273 -4.3023
Pt -3.6365 3.2642 -1.2636
Pt -6.6211 0.2931 -3.4186
Pt -7.4012 0.4368 -0.8024
Pt -11.4704 3.9581 -3.6375
Pt -9.6275 4.4708 -1.6898
Pt -4.7756 0.8065 -1.4682
K -4.4676 8.2291 -1.7841
K -6.7202 3.2256 -2.1809
K -7.2763 6.5478 -2.5292
Na -9.5276 1.5367 -2.9252
```